1.
Ce2ZnSnIr | PBE-GGA | relaxed

CIF file:
```
data_Ce2ZnSnIr
_cell_length_a 7.5012
_cell_length_b 4.3133
_cell_length_c 7.7726
_cell_angle_alpha 90.00
_cell_angle_beta 107.15
_cell_angle_gamma 90.00
_symmetry_space_group_name_H-M 'P 1 21/m 1'
_symmetry_Int_Tables_number 11
_symmetry_space_group_name_Hall '-P 2yb'
loop_
_atom_site_label
_atom_site_fract_x
_atom_site_fract_y
_atom_site_fract_z
Ce1 0.1173 0.2500 0.3376
Ce2 0.2946 0.2500 0.9682
Zn1 0.4437 0.7500 0.3308
Sn1 0.3253 0.7500 0.6572
Ir1 0.1203 0.7500 0.0944
```

Properties
As for the total energy: -5.8011 eV per atom. The calculation puts the magnetic moment at 1.44 μB/f.u.



2.
SrCeIr2 | PBE-GGA | relaxed

CIF file:
```
data_SrCeIr2
_cell_length_a 4.6135
_cell_length_b 4.6135
_cell_length_c 16.4566
_cell_angle_alpha 90.00
_cell_angle_beta 90.00
_cell_angle_gamma 120.00
_symmetry_space_group_name_H-M 'R -3 m'
_symmetry_Int_Tables_number 166
_symmetry_space_group_name_Hall '-R 3 2"'
loop_
_atom_site_label
_atom_site_fract_x
_atom_site_fract_y
_atom_site_fract_z
Sr1 0.0000 0.0000 0.0000
Ce1 0.0000 0.0000 0.5000
Ir1 0.0000 0.0000 0.2066
```

Properties
As for the total energy: -6.7507 eV per atom. The value obtained for the relative energy among the computed polymorphs is 19.6 meV/atom. The calculation puts the magnetic moment at 0.00 μB/f.u.



3.
SrCe2Ir | PBE-GGA | relaxed

CIF file:
```
data_SrCe2Ir
_cell_length_a 4.0724
_cell_length_b 4.0724
_cell_length_c 32.2485
_cell_angle_alpha 90.00
_cell_angle_beta 90.00
_cell_angle_gamma 120.00
_symmetry_space_group_name_H-M 'R -3 m'
_symmetry_Int_Tables_number 166
_symmetry_space_group_name_Hall '-R 3 2"'
loop_
_atom_site_label
_atom_site_fract_x
_atom_site_fract_y
_atom_site_fract_z
Sr1 0.0000 0.0000 0.0000
Ce1 0.0000 0.0000 0.1197
Ir1 0.0000 0.0000 0.5000
```

Properties
As for the total energy: -5.7941 eV per atom. The value obtained for the relative energy among the computed polymorphs is 107.2 meV/atom. The calculation puts the magnetic moment at 2.12 μB/f.u.